Below is a geometry-optimized Cr2AsIr structure, with properties calculated at the GGA-PBE level.

Computed properties:
- size of the total moment (Bohr magnetons per cell) = 8.21
- electronic total energy (eV per atom) = -7.50

a b c (Å): 6.5430 6.5430 6.5430
angles (deg): 128.78 128.78 75.37
Fractional coordinates of all 8 atoms:
Cr 0.1173 0.6250 0.9923
Cr 0.3750 0.3673 0.4923
Cr 0.6327 0.1250 0.0077
Cr 0.8750 0.8827 0.5077
As 0.2500 0.7500 0.5000
As 0.5000 0.5000 0.0000
Ir 0.0000 0.0000 0.0000
Ir 0.7500 0.2500 0.5000